## RbBa2Pm (PBE)

Data for a relaxed RbBa2Pm crystal.

abc: 4.206 4.206 15.079
angles: 81.98 81.98 60.00
Each line ends with the local moment (μB).
Sites, in units of the cell vectors:
Rb 0.000 0.000 0.000  0.00
Pm 0.500 0.500 0.500  0.21
Ba 0.097 0.097 0.710  0.04
Ba 0.903 0.903 0.290  0.04

Values from the calculation:
- Crystal system: trigonal
- Total magnetization: 0.7 μB per formula unit
- Energy of formation: 0.24 eV/atom
- Total energy: -8.610 eV per cell